The following is a DFT calculation (PBE) of crystalline TaBe2Br at its relaxed geometry.

Geometry as POSCAR:
```
TaBe2Br
1.0
3.366 0.000 0.000
0.000 3.263 -0.073
0.000 0.127 5.751
Be Ta Br
2 1 1
direct
0.000 0.250 0.574
0.000 0.250 0.926
0.500 0.750 0.750
0.500 0.250 0.250
```

For the energy above the lowest structure with this stoichiometry, the calculation gives 83 meV per atom. Its crystal system is orthorhombic. As for the symmetry: Pmmm (47).